Compound: H3Pd12Pb4Au
Source: Alexandria via LeMat-Bulk
Functional: PBE-GGA
Structure: relaxed

Values from the calculation:
calculated volume	325.75	Å³/cell
total energy	-4.626	eV/atom

Unit cell a=7.5076 b=7.5076 c=7.5076 alpha=109.47 beta=109.47 gamma=109.47
Atoms (fractional coordinates):
Pd 0.5000 0.2500 0.7500
Pd 0.7036 0.0000 0.7036
Pd 0.2500 0.7500 0.5000
Pd 0.2500 0.5000 0.7500
Pd 0.7500 0.5000 0.2500
Pd 0.2964 0.0000 0.2964
Pd 0.7500 0.2500 0.5000
Pd 0.2964 0.2964 0.0000
Pd 0.5000 0.7500 0.2500
Pd 0.0000 0.2964 0.2964
Pd 0.7036 0.7036 0.0000
Pd 0.0000 0.7036 0.7036
Pb 0.0000 0.5000 0.0000
Pb 0.5000 0.5000 0.5000
Pb 0.5000 0.0000 0.0000
Pb 0.0000 0.0000 0.5000
H 0.5000 0.5000 0.0000
H 0.5000 0.0000 0.5000
H 0.0000 0.5000 0.5000
Au 0.0000 0.0000 0.0000

Compound: AcDyInRu
Source: Alexandria via LeMat-Bulk
Functional: PBE-GGA
Structure: relaxed

Values from the calculation:
calculated volume	105.10	Å³/cell
energy of formation from the pure elements	-134	meV per atom

Unit cell a=5.2971 b=5.2971 c=5.2971 alpha=60.00 beta=60.00 gamma=60.00
Atoms (fractional coordinates):
Dy 0.0000 0.0000 0.0000
Ru 0.7500 0.7500 0.7500
In 0.2500 0.2500 0.2500
Ac 0.5000 0.5000 0.5000

Compound: RePtSe2
Source: Alexandria via LeMat-Bulk
Functional: PBE-GGA
Structure: relaxed

Values from the calculation:
formation energy (no corrections)	102	kJ/mol of formula units
calculated volume	81.03	Å³/cell
polymorph energy (0 for the lowest one)	0.176	eV per atom

Unit cell a=6.5478 b=6.5478 c=6.5478 alpha=154.07 beta=138.50 gamma=49.59
Atoms (fractional coordinates):
Se 0.4198 0.4198 0.0000
Se 0.0802 0.0802 0.0000
Pt 0.7500 0.2500 0.5000
Re 0.2500 0.7500 0.5000

Question: Look up the calculated volume of the third one.
Answer: 81.03 Å³/cell

Question: Among the records above, which one has the highest calculated volume?
Answer: H3Pd12Pb4Au

Question: Which value of calculated volume does entry 1 give?
Answer: 325.75 Å³/cell